(1)
8
Lattice="3.964 0.000 0.000 0.000 3.964 0.000 0.000 0.000 8.556" Properties=species:S:1:pos:R:3 comment="Mg2TaSi PBEsol optimized geometry" m_tot_mub_per_fu=0.00 raw_formation_energy_ev_per_atom=0.123 pbc="T T T"
Mg 0.000 0.000 0.000
Mg 0.000 1.982 2.139
Mg 1.982 0.000 6.417
Mg 1.982 1.982 4.278
Ta 0.000 1.982 6.417
Ta 1.982 0.000 2.139
Si 0.000 0.000 4.278
Si 1.982 1.982 0.000



(2)
16
Lattice="6.636 0.000 0.000 0.000 6.636 0.000 0.000 0.000 6.636" Properties=species:S:1:pos:R:3 comment="HfIn2Fe PBEsol optimized geometry" m_tot_mub_per_fu=1.82 dft_energy_ev_per_atom=-6.15 pbc="T T T"
Hf 0.000 0.000 0.000
Hf 0.000 3.318 3.318
Hf 3.318 0.000 3.318
Hf 3.318 3.318 0.000
In 1.659 1.659 1.659
In 1.659 1.659 4.977
In 1.659 4.977 1.659
In 1.659 4.977 4.977
In 4.977 1.659 1.659
In 4.977 1.659 4.977
In 4.977 4.977 1.659
In 4.977 4.977 4.977
Fe 0.000 0.000 3.318
Fe 0.000 3.318 0.000
Fe 3.318 0.000 0.000
Fe 3.318 3.318 3.318



(3)
12
Lattice="4.275 0.000 0.000 -2.138 3.703 0.000 0.000 0.000 22.015" Properties=species:S:1:pos:R:3 comment="Sr2SeCl PBEsol optimized geometry" m_tot_mub_per_fu=0.82 raw_formation_energy_ev_per_atom=-1.798 polymorph_energy_mev_per_atom=0 pbc="T T T"
Sr 0.000 0.000 0.000
Sr 0.000 0.000 3.744
Sr 0.000 2.468 14.676
Sr 0.000 2.468 18.421
Sr 2.138 1.234 7.338
Sr 2.138 1.234 11.082
Se 0.000 0.000 9.145
Se 0.000 2.468 1.807
Se 2.138 1.234 16.483
Cl 0.000 0.000 13.017
Cl 0.000 2.468 5.679
Cl 2.138 1.234 20.355



(4)
10
Lattice="8.385 0.000 0.000 0.000 8.385 0.000 0.000 0.000 4.075" Properties=species:S:1:pos:R:3 comment="SrCa2Ga2 PBEsol optimized geometry" m_tot_mub_per_fu=0.00 polymorph_energy_mev_per_atom=0 pbc="T T T"
Sr 0.000 0.000 0.000
Sr 4.193 4.193 0.000
Ca 1.453 2.739 2.037
Ca 2.739 6.932 2.037
Ca 5.646 1.453 2.037
Ca 6.932 5.646 2.037
Ga 0.960 5.152 0.000
Ga 3.233 0.960 0.000
Ga 5.152 7.426 0.000
Ga 7.426 3.233 0.000



(5)
12
Lattice="2.678 0.000 0.000 -1.339 2.320 0.000 0.000 0.000 25.638" Properties=species:S:1:pos:R:3 comment="CoIr3 PBEsol optimized geometry" m_tot_mub_per_fu=1.61 dft_energy_ev_per_atom=-9.27 pbc="T T T"
Co 0.000 0.000 0.000
Co 0.000 1.546 17.092
Co 1.339 0.773 8.546
Ir 0.000 0.000 6.507
Ir 0.000 0.000 12.819
Ir 0.000 0.000 19.131
Ir 0.000 1.546 4.273
Ir 0.000 1.546 10.585
Ir 0.000 1.546 23.599
Ir 1.339 0.773 2.039
Ir 1.339 0.773 15.053
Ir 1.339 0.773 21.365



(6)
8
Lattice="4.232 0.000 0.000 0.000 4.232 0.000 0.000 0.000 7.981" Properties=species:S:1:pos:R:3 comment="CaTlIr2 PBEsol optimized geometry" m_tot_mub_per_fu=0.00 dft_energy_ev_per_atom=-5.91 pbc="T T T"
Ca 0.000 0.000 0.000
Ca 2.116 2.116 3.991
Tl 0.000 0.000 3.991
Tl 2.116 2.116 0.000
Ir 0.000 2.116 1.995
Ir 0.000 2.116 5.986
Ir 2.116 0.000 1.995
Ir 2.116 0.000 5.986



(7)
5
Lattice="4.076 0.000 0.000 0.000 4.076 0.000 0.000 0.000 3.759" Properties=species:S:1:pos:R:3 comment="SnGeC2N PBEsol optimized geometry" m_tot_mub_per_fu=0.00 raw_formation_energy_ev_per_atom=2.305 pbc="T T T"
Sn 0.000 0.000 0.000
Ge 2.038 2.038 0.000
C 0.000 2.038 1.879
C 2.038 0.000 1.879
N 2.038 2.038 1.879



(8)
4
Lattice="3.217 0.000 0.000 0.000 3.999 0.000 0.000 0.000 5.978" Properties=species:S:1:pos:R:3 comment="Zr2TlCu PBEsol optimized geometry" m_tot_mub_per_fu=0.00 dft_energy_ev_per_atom=-6.37 pbc="T T T"
Zr 0.000 0.000 1.394
Zr 0.000 0.000 4.584
Tl 1.609 2.000 2.989
Cu 1.609 2.000 0.000



(9)
5
Lattice="3.635 0.000 0.000 -1.818 3.148 0.000 0.000 0.000 5.786" Properties=species:S:1:pos:R:3 comment="Y2O3 PBEsol optimized geometry" m_tot_mub_per_fu=0.00 raw_formation_energy_ev_per_atom=-3.588 pbc="T T T"
Y 0.000 2.099 1.439
Y 1.818 1.049 4.346
O 0.000 0.000 0.000
O 0.000 2.099 3.740
O 1.818 1.049 2.046



(10)
6
Lattice="2.995 0.000 0.000 0.000 2.995 0.000 0.000 0.000 13.750" Properties=species:S:1:pos:R:3 comment="ZrTaTl PBEsol optimized geometry" m_tot_mub_per_fu=0.00 dft_energy_ev_per_atom=-7.96 pbc="T T T"
Zr 0.000 0.000 0.000
Zr 1.498 1.498 6.875
Ta 0.000 0.000 9.053
Ta 1.498 1.498 2.179
Tl 0.000 0.000 4.455
Tl 1.498 1.498 11.330



(11)
12
Lattice="4.598 0.000 0.000 0.000 2.814 0.000 0.000 0.000 14.474" Properties=species:S:1:pos:R:3 comment="NiAg5 PBEsol optimized geometry" m_tot_mub_per_fu=0.00 polymorph_energy_mev_per_atom=0 pbc="T T T"
Ni 0.000 0.000 0.000
Ni 0.000 1.407 7.237
Ag 0.000 0.000 4.928
Ag 0.000 0.000 9.571
Ag 0.000 1.407 2.333
Ag 0.000 1.407 12.165
Ag 2.299 0.000 1.587
Ag 2.299 0.000 6.497
Ag 2.299 0.000 11.268
Ag 2.299 1.407 4.031
Ag 2.299 1.407 8.824
Ag 2.299 1.407 13.734



(12)
16
Lattice="7.094 0.000 0.000 0.000 7.094 0.000 0.000 0.000 7.094" Properties=species:S:1:pos:R:3 comment="Rb2BO PBEsol optimized geometry" m_tot_mub_per_fu=1.00 raw_formation_energy_ev_per_atom=0.749 pbc="T T T"
Rb 1.773 1.773 1.773
Rb 1.773 1.773 5.320
Rb 1.773 5.320 1.773
Rb 1.773 5.320 5.320
Rb 5.320 1.773 1.773
Rb 5.320 1.773 5.320
Rb 5.320 5.320 1.773
Rb 5.320 5.320 5.320
B 0.000 0.000 0.000
B 0.000 3.547 3.547
B 3.547 0.000 3.547
B 3.547 3.547 0.000
O 0.000 0.000 3.547
O 0.000 3.547 0.000
O 3.547 0.000 0.000
O 3.547 3.547 3.547